Density functional theory data (PBE) for a geometry-optimized LiBe2IO6 structure.

Results
**DFT total energy**: -111.25 eV for the cell shown
**Energy relative to the elements, uncorrected**: -1.496 eV/atom
**Theoretical density**: 3.95 g/cm³

a b c (Å): 6.373 6.373 5.564
angles (deg): 106.01 106.01 81.83
Fractional positions:
1 Li 0.098 0.902 0.750
2 Li 0.902 0.098 0.250
3 Be 0.228 0.375 0.863
4 Be 0.375 0.228 0.363
5 Be 0.625 0.772 0.637
6 Be 0.772 0.625 0.137
7 I 0.266 0.734 0.250
8 I 0.734 0.266 0.750
9 O 0.023 0.227 0.705
10 O 0.188 0.640 0.892
11 O 0.227 0.023 0.205
12 O 0.283 0.414 0.194
13 O 0.360 0.812 0.608
14 O 0.414 0.283 0.694
15 O 0.586 0.717 0.306
16 O 0.640 0.188 0.392
17 O 0.717 0.586 0.806
18 O 0.773 0.977 0.795
19 O 0.812 0.360 0.108
20 O 0.977 0.773 0.295